Below is a relaxed structure of NdThPtSe, with properties calculated at the PBE-GGA level.

Lattice parameters (Å, degrees): 4.0563 4.0563 22.9325 90.00 90.00 120.00
Closest atoms and distances in Å follow each position.
Atoms (fractional coordinates):
Nd 0.0000 0.0000 0.0000  3 Se 3.05, 3 Pt 3.09
Nd 0.3333 0.6667 0.6667  3 Se 3.05, 3 Pt 3.09
Nd 0.6667 0.3333 0.3333  3 Se 3.05, 3 Pt 3.09
Th 0.0000 0.0000 0.1626  3 Pt 2.90, 3 Se 3.06
Th 0.3333 0.6667 0.8293  3 Pt 2.90, 3 Se 3.06
Th 0.6667 0.3333 0.4960  3 Pt 2.90, 3 Se 3.06
Pt 0.0000 0.0000 0.7544  3 Th 2.90, 3 Nd 3.09
Pt 0.3333 0.6667 0.4211  3 Th 2.90, 3 Nd 3.09
Pt 0.6667 0.3333 0.0877  3 Th 2.90, 3 Nd 3.09
Se 0.0000 0.0000 0.5817  3 Nd 3.05, 3 Th 3.06
Se 0.3333 0.6667 0.2484  3 Nd 3.05, 3 Th 3.06
Se 0.6667 0.3333 0.9150  3 Nd 3.05, 3 Th 3.06

Output
Uncorrected formation energy, eV/f.u.: -5.31
Spin magnetization, Bohr magnetons per cell: 0.00
Symmetry: R3m (160)
Energy, eV per cell: -81.1